This record from Alexandria describes a geometry-optimized K2GaBiTe4 structure. The functional is PBE.

```
K2GaBiTe4
1.0
-3.1356 -4.1149 5.5217
1.4355 -7.0827 0.7214
3.2084 -0.7110 6.4766
Te K Bi Ga
4 2 1 1
direct
0.8884 0.0000 0.6521 Te
0.5405 0.0000 0.3479 Te
0.4595 0.6521 0.0000 Te
0.1116 0.3479 0.0000 Te
0.0000 0.5000 0.5000 K
0.5000 0.5000 0.5000 K
0.0000 0.0000 0.0000 Bi
0.5000 0.0000 0.0000 Ga
```

Calculated values
total DFT energy (no corrections)	-3.316	eV per atom
volume	36.35	A^3/atom

This record from Alexandria describes a geometry-optimized K2TlGaBi2 structure. The functional is PBE.

```
K2TlGaBi2
1.0
7.6418 0.0000 0.0000
0.0000 7.4842 0.0000
-3.8209 -3.7421 7.9044
Bi K Ga Tl
4 4 2 2
direct
0.1840 0.9002 0.8004 Bi
0.6164 0.4002 0.8004 Bi
0.8160 0.0998 0.1996 Bi
0.3836 0.5998 0.1996 Bi
0.0828 0.3371 0.6741 K
0.5914 0.8371 0.6741 K
0.9172 0.6629 0.3259 K
0.4086 0.1629 0.3259 K
0.5000 0.7500 0.0000 Ga
0.5000 0.2500 0.0000 Ga
0.0000 0.7500 0.0000 Tl
0.0000 0.2500 0.0000 Tl
```

Calculated values
total DFT energy (no corrections)	-2.823	eV per atom
formation energy	-0.26	eV per atom
volume	37.67	A^3/atom

This record from Alexandria describes a geometry-optimized KTl2GaBi structure. The functional is PBE.

```
KTl2GaBi
1.0
5.6875 0.0000 0.0000
0.0000 5.6875 0.0000
0.0000 0.0000 5.7151
Tl K Bi Ga
2 1 1 1
direct
0.5000 0.0000 0.0000 Tl
0.0000 0.5000 0.0000 Tl
0.5000 0.5000 0.5000 K
0.0000 0.0000 0.5000 Bi
0.0000 0.0000 0.0000 Ga
```

Calculated values
total DFT energy (no corrections)	-2.540	eV per atom
formation energy	0.01	eV per atom
volume	36.97	A^3/atom